No. 1
{"formula": "LaCd2Hg5", "functional": "GGA-PBE", "state": "relaxed", "lattice": [[-1.826, 4.473, 6.286], [1.826, -4.473, 6.286], [1.826, 4.473, -6.286]], "species": ["La", "Cd", "Cd", "Hg", "Hg", "Hg", "Hg", "Hg"], "frac_coords": [[0.000, 0.000, 0.000], [0.260, 0.760, 0.500], [0.740, 0.240, 0.500], [0.140, 0.373, 0.767], [0.393, 0.627, 0.767], [0.500, 0.000, 0.500], [0.607, 0.373, 0.233], [0.860, 0.627, 0.233]], "m_tot_mub_per_cell": 0.00, "total_energy_ev_per_atom": -1.193, "mass_density_g_cm3": 11.051, "space_group": "Immm", "delta_e_f_mev_per_atom": -159}

---

No. 2
{"formula": "LaCd2Hg", "functional": "GGA-PBE", "state": "relaxed", "lattice": [[0.000, 3.717, 3.717], [3.717, 0.000, 3.717], [3.717, 3.717, 0.000]], "species": ["La", "Cd", "Cd", "Hg"], "frac_coords": [[0.000, 0.000, 0.000], [0.250, 0.250, 0.250], [0.500, 0.500, 0.500], [0.750, 0.750, 0.750]], "m_tot_mub_per_cell": 0.00, "total_energy_ev_per_atom": -2.155, "mass_density_g_cm3": 9.125, "space_group": "F-43m", "delta_e_f_mev_per_atom": -390}

---

No. 3
{"formula": "LaCd2Hg", "functional": "GGA-PBE", "state": "relaxed", "lattice": [[2.039, 1.177, 8.219], [-2.039, 1.177, 8.219], [0.000, -2.355, 8.219]], "species": ["La", "Cd", "Cd", "Hg"], "frac_coords": [[0.000, 0.000, 0.000], [0.502, 0.502, 0.502], [0.762, 0.762, 0.762], [0.243, 0.243, 0.243]], "m_tot_mub_per_cell": 0.00, "total_energy_ev_per_atom": -1.883, "mass_density_g_cm3": 7.916, "space_group": "R3m", "delta_e_f_mev_per_atom": -118}

---

No. 4
{"formula": "La2CdHg2", "functional": "GGA-PBE", "state": "relaxed", "lattice": [[-3.061, 3.061, 4.376], [3.061, -3.061, 4.376], [3.061, 3.061, -4.376]], "species": ["La", "La", "Cd", "Hg", "Hg"], "frac_coords": [[0.250, 0.750, 0.500], [0.750, 0.250, 0.500], [0.000, 0.000, 0.000], [0.345, 0.345, 0.000], [0.655, 0.655, 0.000]], "m_tot_mub_per_cell": 0.00, "total_energy_ev_per_atom": -2.425, "mass_density_g_cm3": 8.010, "space_group": "I4/mmm", "delta_e_f_mev_per_atom": -151}

---

No. 5
{"formula": "La3Cd3Hg", "functional": "GGA-PBE", "state": "relaxed", "lattice": [[-1.804, 2.552, 10.935], [1.804, -2.552, 10.935], [1.804, 2.552, -10.935]], "species": ["La", "La", "La", "Cd", "Cd", "Cd", "Hg"], "frac_coords": [[0.000, 0.000, 0.000], [0.393, 0.393, 0.000], [0.700, 0.200, 0.500], [0.130, 0.630, 0.500], [0.557, 0.557, 0.000], [0.839, 0.839, 0.000], [0.264, 0.764, 0.500]], "m_tot_mub_per_cell": 0.28, "total_energy_ev_per_atom": -2.899, "mass_density_g_cm3": 7.872, "space_group": "Imm2", "delta_e_f_mev_per_atom": -352}

---

No. 6
{"formula": "LaCd5Hg6", "functional": "GGA-PBE", "state": "relaxed", "lattice": [[4.536, -7.999, 0.000], [4.536, 7.999, 0.000], [-2.649, 0.000, 4.150]], "species": ["La", "Cd", "Cd", "Cd", "Cd", "Cd", "Hg", "Hg", "Hg", "Hg", "Hg", "Hg"], "frac_coords": [[0.000, 0.000, 0.000], [0.161, 0.839, 0.500], [0.306, 0.694, 0.000], [0.500, 0.500, 0.500], [0.694, 0.306, 0.000], [0.839, 0.161, 0.500], [0.109, 0.433, 0.270], [0.279, 0.279, 0.778], [0.433, 0.109, 0.270], [0.567, 0.891, 0.730], [0.721, 0.721, 0.222], [0.891, 0.567, 0.730]], "m_tot_mub_per_cell": 0.00, "total_energy_ev_per_atom": -1.073, "mass_density_g_cm3": 10.501, "space_group": "C2/m", "delta_e_f_mev_per_atom": -131}

---

No. 7
{"formula": "LaCd5Hg8", "functional": "GGA-PBE", "state": "relaxed", "lattice": [[-4.466, 4.466, 4.503], [4.466, -4.466, 4.503], [4.466, 4.466, -4.503]], "species": ["La", "Cd", "Cd", "Cd", "Cd", "Cd", "Hg", "Hg", "Hg", "Hg", "Hg", "Hg", "Hg", "Hg"], "frac_coords": [[0.000, 0.000, 0.000], [0.205, 0.631, 0.123], [0.369, 0.491, 0.573], [0.509, 0.082, 0.877], [0.750, 0.250, 0.500], [0.918, 0.795, 0.427], [0.135, 0.688, 0.745], [0.158, 0.261, 0.769], [0.312, 0.057, 0.447], [0.492, 0.389, 0.231], [0.610, 0.865, 0.553], [0.611, 0.842, 0.102], [0.739, 0.508, 0.898], [0.943, 0.390, 0.255]], "m_tot_mub_per_cell": 0.00, "total_energy_ev_per_atom": -0.938, "mass_density_g_cm3": 10.656, "space_group": "I-4", "delta_e_f_mev_per_atom": -87}

---

No. 8
{"formula": "LaCd6Hg4", "functional": "GGA-PBE", "state": "relaxed", "lattice": [[-3.494, 3.494, 6.235], [3.494, -3.494, 6.235], [3.494, 3.494, -6.235]], "species": ["La", "Cd", "Cd", "Cd", "Cd", "Cd", "Cd", "Hg", "Hg", "Hg", "Hg"], "frac_coords": [[0.000, 0.000, 0.000], [0.000, 0.500, 0.500], [0.237, 0.554, 0.000], [0.446, 0.446, 0.683], [0.500, 0.000, 0.500], [0.554, 0.237, 0.000], [0.763, 0.763, 0.317], [0.070, 0.070, 0.490], [0.420, 0.930, 0.000], [0.580, 0.580, 0.510], [0.930, 0.420, 0.000]], "m_tot_mub_per_cell": 0.00, "total_energy_ev_per_atom": -1.105, "mass_density_g_cm3": 8.812, "space_group": "I-42m", "delta_e_f_mev_per_atom": -48}